No. 1
! Pr2PaBi2N2 PBE relaxed; values from VASP
&SYSTEM
  ibrav = 0, nat = 7, ntyp = 4
/
ATOMIC_SPECIES
Pr 140.91 Pr.upf
Pa 231.04 Pa.upf
Bi 208.98 Bi.upf
N 14.01 N.upf
ATOMIC_POSITIONS angstrom
Pr 0.0000 0.0000 1.8265
Pr 0.0000 0.0000 15.1523
Pa 0.0000 0.0000 8.4894
Bi 0.0000 0.0000 5.2260
Bi 0.0000 0.0000 11.7527
N 2.2258 0.0000 0.0000
N 0.0000 2.2258 0.0000
CELL_PARAMETERS angstrom
-2.2258 2.2258 8.4894
2.2258 -2.2258 8.4894
2.2258 2.2258 -8.4894
! symmetry	I4/mmm, No. 139
! DOS(E_F)	3.86	states/eV/f.u.
! formation energy without anion corrections	-1.0687	eV/atom
! raw total energy	-7.278	eV per atom

***

No. 2
! PaBiPtN PBE relaxed; values from VASP
&SYSTEM
  ibrav = 0, nat = 8, ntyp = 4
/
ATOMIC_SPECIES
Pa 231.04 Pa.upf
Bi 208.98 Bi.upf
Pt 195.08 Pt.upf
N 14.01 N.upf
ATOMIC_POSITIONS angstrom
Pa 0.0000 0.0000 4.8325
Pa 0.0000 0.0000 32.9093
Bi 0.0000 0.0000 11.3765
Bi 0.0000 0.0000 26.3652
Pt 0.0000 0.0000 15.5726
Pt 0.0000 0.0000 22.1692
N 0.0000 0.0000 7.0945
N 0.0000 0.0000 30.6473
CELL_PARAMETERS angstrom
1.9674 1.1359 12.5806
-1.9674 1.1359 12.5806
0.0000 -2.2718 12.5806
! symmetry	R-3m, No. 166
! DOS(E_F)	2.11	states/eV/f.u.
! formation energy without anion corrections	-0.9312	eV/atom
! raw total energy	-7.867	eV per atom

***

No. 3
! Pu2PaBi2N2 PBE relaxed; values from VASP
&SYSTEM
  ibrav = 0, nat = 7, ntyp = 4
/
ATOMIC_SPECIES
Pu 244.00 Pu.upf
Pa 231.04 Pa.upf
Bi 208.98 Bi.upf
N 14.01 N.upf
ATOMIC_POSITIONS angstrom
Pu 0.0000 0.0000 1.6029
Pu 0.0000 0.0000 14.6107
Pa 0.0000 0.0000 8.1068
Bi 0.0000 0.0000 4.8444
Bi 0.0000 0.0000 11.3692
N 2.2225 0.0000 0.0000
N 0.0000 2.2225 0.0000
CELL_PARAMETERS angstrom
-2.2225 2.2225 8.1068
2.2225 -2.2225 8.1068
2.2225 2.2225 -8.1068
! symmetry	I4/mmm, No. 139
! DOS(E_F)	22.33	states/eV/f.u.
! formation energy without anion corrections	-0.7886	eV/atom
! raw total energy	-9.728	eV per atom

***

No. 4
! PaBiS2N PBE relaxed; values from VASP
&SYSTEM
  ibrav = 0, nat = 10, ntyp = 4
/
ATOMIC_SPECIES
Pa 231.04 Pa.upf
Bi 208.98 Bi.upf
S 32.06 S.upf
N 14.01 N.upf
ATOMIC_POSITIONS angstrom
Pa 0.9897 0.9897 1.1829
Pa 2.9690 2.9690 12.4116
Bi 0.9897 0.9897 8.3971
Bi 2.9690 2.9690 5.1974
S 0.9897 0.9897 5.2937
S 0.9897 0.9897 11.0943
S 2.9690 2.9690 2.5002
S 2.9690 2.9690 8.3008
N 0.9897 2.9690 0.0000
N 2.9690 0.9897 0.0000
CELL_PARAMETERS angstrom
3.9587 0.0000 0.0000
0.0000 3.9587 0.0000
0.0000 0.0000 13.5945
! symmetry	P4/nmm, No. 129
! DOS(E_F)	4.70	states/eV/f.u.
! formation energy without anion corrections	-1.0785	eV/atom
! raw total energy	-7.070	eV per atom

***

No. 5
! PaBiSbN PBE relaxed; values from VASP
&SYSTEM
  ibrav = 0, nat = 4, ntyp = 4
/
ATOMIC_SPECIES
Pa 231.04 Pa.upf
Bi 208.98 Bi.upf
Sb 121.76 Sb.upf
N 14.01 N.upf
ATOMIC_POSITIONS angstrom
Pa 0.0000 0.0000 0.0000
Bi 0.0000 0.0000 20.7926
Sb 0.0000 0.0000 10.5349
N 0.0000 0.0000 15.8472
CELL_PARAMETERS angstrom
1.9085 1.1019 8.0898
-1.9085 1.1019 8.0898
0.0000 -2.2038 8.0898
! symmetry	R3m, No. 160
! DOS(E_F)	4.10	states/eV/f.u.
! formation energy without anion corrections	-0.4819	eV/atom
! raw total energy	-6.938	eV per atom

***

No. 6
! ScPaBi2N PBE relaxed; values from VASP
&SYSTEM
  ibrav = 0, nat = 10, ntyp = 4
/
ATOMIC_SPECIES
Sc 44.96 Sc.upf
Pa 231.04 Pa.upf
Bi 208.98 Bi.upf
N 14.01 N.upf
ATOMIC_POSITIONS angstrom
Sc 1.0151 1.0151 1.2297
Sc 3.0453 3.0453 13.4101
Pa 1.0151 1.0151 8.4284
Pa 3.0453 3.0453 6.2114
Bi 1.0151 1.0151 4.3010
Bi 1.0151 1.0151 12.7550
Bi 3.0453 3.0453 1.8848
Bi 3.0453 3.0453 10.3388
N 1.0151 3.0453 7.3199
N 3.0453 1.0151 7.3199
CELL_PARAMETERS angstrom
4.0604 0.0000 0.0000
0.0000 4.0604 0.0000
0.0000 0.0000 14.6398
! symmetry	P4/nmm, No. 129
! DOS(E_F)	2.76	states/eV/f.u.
! formation energy without anion corrections	-0.8925	eV/atom
! raw total energy	-7.275	eV per atom

***

No. 7
! PaBiSe2N PBE relaxed; values from VASP
&SYSTEM
  ibrav = 0, nat = 10, ntyp = 4
/
ATOMIC_SPECIES
Pa 231.04 Pa.upf
Bi 208.98 Bi.upf
Se 78.96 Se.upf
N 14.01 N.upf
ATOMIC_POSITIONS angstrom
Pa 0.9806 0.9806 1.1918
Pa 2.9418 2.9418 14.7341
Bi 0.9806 0.9806 10.0874
Bi 2.9418 2.9418 5.8385
Se 0.9806 0.9806 6.7134
Se 0.9806 0.9806 13.2470
Se 2.9418 2.9418 2.6789
Se 2.9418 2.9418 9.2124
N 0.9806 2.9418 0.0000
N 2.9418 0.9806 0.0000
CELL_PARAMETERS angstrom
3.9224 0.0000 0.0000
0.0000 3.9224 0.0000
0.0000 0.0000 15.9259
! symmetry	P4/nmm, No. 129
! DOS(E_F)	3.30	states/eV/f.u.
! formation energy without anion corrections	-1.0547	eV/atom
! raw total energy	-6.789	eV per atom

***

No. 8
! Sm2PaBi2N2 PBE relaxed; values from VASP
&SYSTEM
  ibrav = 0, nat = 7, ntyp = 4
/
ATOMIC_SPECIES
Sm 150.36 Sm.upf
Pa 231.04 Pa.upf
Bi 208.98 Bi.upf
N 14.01 N.upf
ATOMIC_POSITIONS angstrom
Sm 0.0000 0.0000 1.7845
Sm 0.0000 0.0000 14.9097
Pa 0.0000 0.0000 8.3471
Bi 0.0000 0.0000 5.1138
Bi 0.0000 0.0000 11.5803
N 2.2115 0.0000 0.0000
N 0.0000 2.2115 0.0000
CELL_PARAMETERS angstrom
-2.2115 2.2115 8.3471
2.2115 -2.2115 8.3471
2.2115 2.2115 -8.3471
! symmetry	I4/mmm, No. 139
! DOS(E_F)	4.01	states/eV/f.u.
! formation energy without anion corrections	-1.0474	eV/atom
! raw total energy	-7.240	eV per atom

***

No. 9
! PaSnBiN PBE relaxed; values from VASP
&SYSTEM
  ibrav = 0, nat = 8, ntyp = 4
/
ATOMIC_SPECIES
Pa 231.04 Pa.upf
Sn 118.71 Sn.upf
Bi 208.98 Bi.upf
N 14.01 N.upf
ATOMIC_POSITIONS angstrom
Pa 1.0245 1.0245 1.0935
Pa 3.0734 3.0734 10.4600
Sn 1.0245 3.0734 5.7768
Sn 3.0734 1.0245 5.7768
Bi 1.0245 1.0245 8.6088
Bi 3.0734 3.0734 2.9447
N 1.0245 3.0734 0.0000
N 3.0734 1.0245 0.0000
CELL_PARAMETERS angstrom
4.0978 0.0000 0.0000
0.0000 4.0978 0.0000
0.0000 0.0000 11.5535
! symmetry	P4/nmm, No. 129
! DOS(E_F)	1.58	states/eV/f.u.
! formation energy without anion corrections	-0.7568	eV/atom
! raw total energy	-7.183	eV per atom

***

No. 10
! TbPaBi2N PBE relaxed; values from VASP
&SYSTEM
  ibrav = 0, nat = 10, ntyp = 4
/
ATOMIC_SPECIES
Tb 158.93 Tb.upf
Pa 231.04 Pa.upf
Bi 208.98 Bi.upf
N 14.01 N.upf
ATOMIC_POSITIONS angstrom
Tb 1.0397 1.0397 1.2483
Tb 3.1192 3.1192 13.6011
Pa 1.0397 1.0397 8.4872
Pa 3.1192 3.1192 6.3622
Bi 1.0397 1.0397 4.4993
Bi 1.0397 1.0397 12.7297
Bi 3.1192 3.1192 2.1196
Bi 3.1192 3.1192 10.3501
N 1.0397 3.1192 7.4247
N 3.1192 1.0397 7.4247
CELL_PARAMETERS angstrom
4.1589 0.0000 0.0000
0.0000 4.1589 0.0000
0.0000 0.0000 14.8494
! symmetry	P4/nmm, No. 129
! DOS(E_F)	3.30	states/eV/f.u.
! formation energy without anion corrections	-0.8794	eV/atom
! raw total energy	-6.922	eV per atom

***

No. 11
! Tb2PaBi2N2 PBE relaxed; values from VASP
&SYSTEM
  ibrav = 0, nat = 7, ntyp = 4
/
ATOMIC_SPECIES
Tb 158.93 Tb.upf
Pa 231.04 Pa.upf
Bi 208.98 Bi.upf
N 14.01 N.upf
ATOMIC_POSITIONS angstrom
Tb 0.0000 0.0000 1.7579
Tb 0.0000 0.0000 14.7308
Pa 0.0000 0.0000 8.2443
Bi 0.0000 0.0000 5.0368
Bi 0.0000 0.0000 11.4519
N 2.1998 0.0000 0.0000
N 0.0000 2.1998 0.0000
CELL_PARAMETERS angstrom
-2.1998 2.1998 8.2443
2.1998 -2.1998 8.2443
2.1998 2.1998 -8.2443
! symmetry	I4/mmm, No. 139
! DOS(E_F)	4.20	states/eV/f.u.
! formation energy without anion corrections	-1.0122	eV/atom
! raw total energy	-7.179	eV per atom

***

No. 12
! TbPaBiN2 PBE relaxed; values from VASP
&SYSTEM
  ibrav = 0, nat = 5, ntyp = 4
/
ATOMIC_SPECIES
Tb 158.93 Tb.upf
Pa 231.04 Pa.upf
Bi 208.98 Bi.upf
N 14.01 N.upf
ATOMIC_POSITIONS angstrom
Tb 0.0000 0.0000 0.0000
Pa 0.0000 0.0000 4.6307
Bi 0.0000 0.0000 9.0604
N 1.9820 0.0000 5.5691
N 0.0000 1.9820 5.5691
CELL_PARAMETERS angstrom
-1.9820 1.9820 6.7707
1.9820 -1.9820 6.7707
1.9820 1.9820 -6.7707
! symmetry	I4mm, No. 107
! DOS(E_F)	2.11	states/eV/f.u.
! formation energy without anion corrections	-1.4343	eV/atom
! raw total energy	-8.366	eV per atom